No. 1
NaHf3Mo | PBE | optimized geometry

Lattice parameters (Å, degrees): 5.127 5.127 5.127 90.00 90.00 90.00
Positions (direct):
1 Na 0.500 0.500 0.500
2 Mo 0.000 0.000 0.000
3 Hf 0.000 0.000 0.500
4 Hf 0.500 0.000 0.000
5 Hf 0.000 0.500 0.000

Computed properties:
DFT total energy = -7.5985 eV/atom
Space group = Pm-3m (221)
Theoretical density = 8.063 Mg/m³

=====

No. 2
KCaPb2 | PBE | optimized geometry

Lattice parameters (Å, degrees): 5.782 5.782 5.782 60.00 60.00 60.00
Positions (direct):
1 K 0.750 0.750 0.750
2 Pb 0.250 0.250 0.250
3 Ca 0.500 0.500 0.500
4 Pb 0.000 0.000 0.000

Computed properties:
DFT total energy = -2.7747 eV/atom
Space group = F-43m (216)
Theoretical density = 5.997 Mg/m³

=====

no.,total moment (μB/cell)
1,0.0
2,0.0